No. 1
Below is crystalline Ce2PrPt2 at its relaxed geometry, with properties calculated at the PBE level.

a b c (Å): 8.092 8.092 3.861
angles (deg): 90.00 90.00 90.00
Space group P4/mbm (No. 127)
Symmetry-distinct sites (fractional):
Ce  0.164  0.336  0.000 [4 per cell]
Pr  0.000  0.000  0.500 [2 per cell]
Pt  0.132  0.632  0.500 [4 per cell]

Results
excess energy over the best structure of this formula in the dataset: 0.00 kcal/mol of atoms
formation energy from the elements: -853 meV/atom
magnetic moment: 2.816 μB per cell

***

No. 2
Below is crystalline CePrPt10 at its relaxed geometry, with properties calculated at the PBE level.

a b c (Å): 4.449 5.424 9.366
angles (deg): 90.00 90.00 90.00
Space group Pmmm (No. 47)
Symmetry-distinct sites (fractional):
Ce  0.000  0.000  0.000 [1 per cell]
Pr  0.000  0.500  0.500 [1 per cell]
Pt  0.000  0.000  0.330 [2 per cell]
Pt  0.000  0.500  0.164 [2 per cell]
Pt  0.500  0.000  0.500 [1 per cell]
Pt  0.500  0.249  0.249 [4 per cell]
Pt  0.500  0.500  0.000 [1 per cell]

Results
formation energy from the elements: -720 meV/atom
magnetic moment: 0.450 μB per cell

***

No. 3
Below is crystalline Ce3Pr2Pt2 at its relaxed geometry, with properties calculated at the PBE level.

a b c (Å): 12.102 3.894 9.009
angles (deg): 90.00 113.88 90.00
Space group C2/m (No. 12)
Symmetry-distinct sites (fractional):
Ce  0.000  0.000  0.000 [2 per cell]
Ce  0.111  0.000  0.450 [4 per cell]
Pr  0.161  0.500  0.815 [4 per cell]
Pt  0.148  0.500  0.236 [4 per cell]

Results
formation energy from the elements: -621 meV/atom
magnetic moment: 3.736 μB per cell